*1*
6
Lattice="5.2083 0.0000 0.0000 0.0000 5.8268 0.0000 0.0000 0.0000 6.2764" Properties=species:S:1:pos:R:3 comment="BiSbP (PBE-GGA, optimized geometry)" mass_density_g_cm3=6.31 crystal_system=orthorhombic vol_a3_per_atom=31.75 pbc="T T T"
Bi 0.0000 0.3833 0.0000
Bi 0.0000 5.4435 3.1382
Sb 2.6042 1.5669 3.3991
Sb 2.6042 4.2599 0.2609
P 2.6042 1.7645 5.9814
P 2.6042 4.0623 2.8432

*2*
6
Lattice="4.5116 0.0000 0.0000 -1.1635 6.3092 0.0000 -1.6855 -2.8308 6.2494" Properties=species:S:1:pos:R:3 comment="BiSbP (PBE-GGA, optimized geometry)" mass_density_g_cm3=6.75 crystal_system=triclinic vol_a3_per_atom=29.65 pbc="T T T"
Bi -0.4515 1.7796 1.9199
Bi 2.1142 1.6988 4.3295
Sb -0.6664 4.8327 1.9635
Sb 2.3291 -1.3543 4.2858
P 1.1162 5.2086 0.0807
P 0.5464 -1.7302 6.1687

*3*
6
Lattice="5.1052 0.0000 0.0000 1.6737 5.3385 0.0000 1.3499 1.8947 6.4034" Properties=species:S:1:pos:R:3 comment="BiSbP (PBE-GGA, optimized geometry)" mass_density_g_cm3=6.88 crystal_system=triclinic vol_a3_per_atom=29.09 pbc="T T T"
Bi 0.0000 0.0000 0.0000
Bi 2.9799 3.2655 3.9371
Sb 4.5859 4.4407 6.2000
Sb 6.2436 5.7896 3.9129
P 1.6625 1.1603 1.8181
P 4.6953 4.8183 2.0784

*4*
6
Lattice="3.9934 0.0000 0.0000 -0.0354 6.3243 0.0000 -1.9494 -0.1732 6.6126" Properties=species:S:1:pos:R:3 comment="BiSbP (PBE-GGA, optimized geometry)" mass_density_g_cm3=7.19 crystal_system=triclinic vol_a3_per_atom=27.83 pbc="T T T"
Bi 0.0133 1.5027 2.1073
Bi 1.9953 4.6484 4.5053
Sb -0.0108 4.6747 1.9389
Sb 2.0194 1.4763 4.6738
P 0.0321 1.8704 6.5932
P 1.9765 4.2807 0.0194

It is *1* that is the least stable of them.

*1*
3
Lattice="3.7429 0.0000 0.0000 -1.8715 3.2415 0.0000 0.0000 0.0000 6.4677" Properties=species:S:1:pos:R:3 comment="BiSbP (PBE-GGA, optimized geometry)" mass_density_g_cm3=7.65 crystal_system=trigonal vol_a3_per_atom=26.16 pbc="T T T"
Bi 0.0000 0.0000 0.0000
Sb 0.0000 2.1610 3.7024
P 1.8715 1.0805 2.1190

*2*
6
Lattice="7.1264 -2.0970 0.0000 7.1264 2.0970 0.0000 -2.2447 0.0000 5.9324" Properties=species:S:1:pos:R:3 comment="BiSbP (PBE-GGA, optimized geometry)" mass_density_g_cm3=6.78 crystal_system=monoclinic vol_a3_per_atom=29.55 pbc="T T T"
Bi 1.0988 0.0000 2.3623
Bi 10.9092 0.0000 3.5702
Sb 0.3615 0.0000 5.5738
Sb 11.6465 0.0000 0.3587
P 5.5445 0.0000 3.9654
P 6.4635 0.0000 1.9671

It is *1* that is the least stable of them.

*1*
3
Lattice="3.2115 -1.8519 0.0000 3.2115 1.8519 0.0000 -1.9748 0.0000 6.6297" Properties=species:S:1:pos:R:3 comment="BiSbP (PBE-GGA, optimized geometry)" mass_density_g_cm3=7.62 crystal_system=monoclinic vol_a3_per_atom=26.29 pbc="T T T"
Bi 0.0000 0.0000 0.0000
Sb 2.2971 0.0000 2.9268
P 0.1498 0.0000 4.5382

*2*
6
Lattice="4.5872 0.0000 0.0000 2.0114 6.0379 0.0000 2.2833 -0.0465 6.6329" Properties=species:S:1:pos:R:3 comment="BiSbP (PBE-GGA, optimized geometry)" mass_density_g_cm3=6.54 crystal_system=triclinic vol_a3_per_atom=30.62 pbc="T T T"
Bi 0.0000 0.0000 0.0000
Bi 3.2837 2.9985 2.4721
Sb 2.2827 -0.0057 2.8745
Sb 5.5793 3.0005 0.4317
P 5.9686 5.1079 4.6485
P 5.1957 0.8821 4.6703

It is *1* that is the least stable of them.

*1*
4
Lattice="0.0000 3.5290 3.5290 3.5290 0.0000 3.5290 3.5290 3.5290 0.0000" Properties=species:S:1:pos:R:3 comment="BiSbP2 (PBE-GGA, optimized geometry)" mass_density_g_cm3=7.42 crystal_system=cubic vol_a3_per_atom=21.97 pbc="T T T"
Bi 0.0000 0.0000 0.0000
Sb 3.5290 3.5290 3.5290
P 1.7645 1.7645 1.7645
P 5.2934 5.2934 5.2934

*2*
8
Lattice="-3.5391 3.5391 4.4429 3.5391 -3.5391 4.4429 3.5391 3.5391 -4.4429" Properties=species:S:1:pos:R:3 comment="BiSbP2 (PBE-GGA, optimized geometry)" mass_density_g_cm3=5.86 crystal_system=tetragonal vol_a3_per_atom=27.82 pbc="T T T"
Bi 0.0000 0.0000 0.0000
Bi 0.0000 3.5391 2.2214
Sb 3.5391 0.0000 2.2214
Sb 0.0000 0.0000 4.4429
P 1.7696 1.8878 -1.1107
P 5.1905 1.7696 1.1107
P 1.7696 1.6513 3.3321
P -1.6513 1.7696 5.5536

It is *1* that is the least stable of them.

*1*
5
Lattice="-1.6709 1.6709 10.7790 1.6709 -1.6709 10.7790 1.6709 1.6709 -10.7790" Properties=species:S:1:pos:R:3 comment="BiSb2P2 (PBE-GGA, optimized geometry)" mass_density_g_cm3=7.10 crystal_system=tetragonal vol_a3_per_atom=24.07 pbc="T T T"
Bi 0.0000 0.0000 0.0000
Sb 0.0000 0.0000 8.0973
Sb 0.0000 0.0000 13.4608
P 1.6709 0.0000 5.3895
P 0.0000 1.6709 5.3895

*2*
10
Lattice="8.2801 0.0000 0.0000 0.0000 8.2801 0.0000 0.0000 0.0000 3.7206" Properties=species:S:1:pos:R:3 comment="BiSb2P2 (PBE-GGA, optimized geometry)" mass_density_g_cm3=6.70 crystal_system=tetragonal vol_a3_per_atom=25.51 pbc="T T T"
Bi 0.0000 0.0000 0.0000
Bi 4.1401 4.1401 0.0000
Sb 1.3347 2.8053 1.8603
Sb 2.8053 6.9454 1.8603
Sb 5.4748 1.3347 1.8603
Sb 6.9454 5.4748 1.8603
P 1.5329 5.6730 0.0000
P 2.6071 1.5329 0.0000
P 5.6730 6.7472 0.0000
P 6.7472 2.6071 0.0000

It is *1* that is the least stable of them.

*1*
5
Lattice="5.9382 0.0000 0.0000 0.0000 5.9382 0.0000 0.0000 0.0000 5.9559" Properties=species:S:1:pos:R:3 comment="BiSbTe2P (PBE-GGA, optimized geometry)" mass_density_g_cm3=4.88 crystal_system=tetragonal vol_a3_per_atom=42.00 pbc="T T T"
Bi 0.0000 0.0000 0.0000
Sb 0.0000 0.0000 2.9780
Te 0.0000 2.9691 0.0000
Te 2.9691 0.0000 0.0000
P 2.9691 2.9691 2.9780

*2*
5
Lattice="5.2948 0.0000 0.0000 0.0000 5.2948 0.0000 0.0000 0.0000 5.2104" Properties=species:S:1:pos:R:3 comment="BiSbTe2P (PBE-GGA, optimized geometry)" mass_density_g_cm3=7.01 crystal_system=tetragonal vol_a3_per_atom=29.21 pbc="T T T"
Bi 0.0000 0.0000 0.0000
Sb 2.6474 2.6474 0.0000
Te 0.0000 2.6474 2.6052
Te 2.6474 0.0000 2.6052
P 2.6474 2.6474 2.6052

It is *1* that is the least stable of them.